# Ba2GeBi3Pd4 | the Alexandria database | GGA-PBE | optimized geometry
data_Ba2GeBi3Pd4
_chemical_formula_sum 'Ba2 Ge1 Bi3 Pd4'
_cell_length_a 4.848
_cell_length_b 4.848
_cell_length_c 10.974
_cell_angle_alpha 90.00
_cell_angle_beta 90.00
_cell_angle_gamma 90.00
_space_group_name_H-M_alt 'P 1'
_space_group_IT_number 1
loop_
_space_group_symop_operation_xyz
'x,y,z'
loop_
_atom_site_label
_atom_site_type_symbol
_atom_site_fract_x
_atom_site_fract_y
_atom_site_fract_z
Ge1 Ge 0.500 0.500 0.500
Pd1 Pd 0.500 0.000 0.616
Pd2 Pd 0.500 0.500 0.000
Pd3 Pd 0.000 0.500 0.384
Pd4 Pd 0.000 0.000 0.000
Bi1 Bi 0.000 0.000 0.500
Bi2 Bi 0.000 0.500 0.128
Bi3 Bi 0.500 0.000 0.872
Ba1 Ba 0.000 0.500 0.751
Ba2 Ba 0.500 0.000 0.249
# Energy of formation from the pure elements: -607 meV/atom
# Uncorrected energy: -4.695 eV per atom

=====

# BaSnGe2Bi | the Alexandria database | GGA-PBE | optimized geometry
data_BaSnGe2Bi
_chemical_formula_sum 'Ba1 Sn1 Ge2 Bi1'
_cell_length_a 5.766
_cell_length_b 6.292
_cell_length_c 5.766
_cell_angle_alpha 90.00
_cell_angle_beta 90.00
_cell_angle_gamma 90.00
_space_group_name_H-M_alt 'P 1'
_space_group_IT_number 1
loop_
_space_group_symop_operation_xyz
'x,y,z'
loop_
_atom_site_label
_atom_site_type_symbol
_atom_site_fract_x
_atom_site_fract_y
_atom_site_fract_z
Bi1 Bi 0.000 0.500 0.000
Ge1 Ge 0.500 0.000 0.000
Ge2 Ge 0.000 0.000 0.500
Ba1 Ba 0.000 0.000 0.000
Sn1 Sn 0.500 0.500 0.500
# Energy of formation from the pure elements: 1088 meV/atom
# Uncorrected energy: -2.721 eV per atom

=====

# Ba2Zn4Ge3Bi | the Alexandria database | GGA-PBE | optimized geometry
data_Ba2Zn4Ge3Bi
_chemical_formula_sum 'Ba2 Zn4 Ge3 Bi1'
_cell_length_a 4.715
_cell_length_b 4.715
_cell_length_c 10.838
_cell_angle_alpha 90.00
_cell_angle_beta 90.00
_cell_angle_gamma 90.00
_space_group_name_H-M_alt 'P 1'
_space_group_IT_number 1
loop_
_space_group_symop_operation_xyz
'x,y,z'
loop_
_atom_site_label
_atom_site_type_symbol
_atom_site_fract_x
_atom_site_fract_y
_atom_site_fract_z
Ge1 Ge 0.000 0.000 0.500
Ge2 Ge 0.500 0.000 0.879
Ge3 Ge 0.000 0.500 0.121
Zn1 Zn 0.000 0.500 0.355
Zn2 Zn 0.500 0.000 0.645
Zn3 Zn 0.000 0.000 0.000
Zn4 Zn 0.500 0.500 0.000
Ba1 Ba 0.500 0.000 0.236
Ba2 Ba 0.000 0.500 0.764
Bi1 Bi 0.500 0.500 0.500
# Energy of formation from the pure elements: -362 meV/atom
# Uncorrected energy: -3.030 eV per atom

=====

uncorrected energy of number 3 (Ba2Zn4Ge3Bi)? -3.030 eV per atom